Record 1
BaZnRu2 GGA-PBE relaxed; total energy = -0.34786 Ry/atom; ρ = 8.011 g/cm3; N(E_F) = 8.89 states/eV/cell
1.0
3.104 0.000 0.000
0.000 5.285 0.000
0.000 0.000 10.233
Ba Zn Ru
2 2 4
Direct
0.000 0.000 0.000
0.500 0.500 0.500
0.000 0.500 0.202
0.500 0.000 0.702
0.000 0.000 0.483
0.000 0.500 0.786
0.500 0.000 0.286
0.500 0.500 0.983

Record 2
Pr4InSn GGA-PBE relaxed; total energy = -0.34545 Ry/atom; ρ = 7.188 g/cm3; N(E_F) = 9.11 states/eV/cell
1.0
4.223 0.000 0.000
0.000 4.229 0.000
-0.022 0.000 10.311
Pr In Sn
4 1 1
Direct
0.000 0.000 0.153
0.000 0.000 0.847
0.499 0.500 0.339
0.501 0.500 0.661
0.000 0.000 0.500
0.500 0.500 0.000

Record 3
InP3F GGA-PBE relaxed; ρ = 2.914 g/cm3; N(E_F) = 6.06 states/eV/cell; formation energy from raw total energies = 1.1763 eV/atom
1.0
5.055 0.000 0.000
0.000 5.055 0.000
0.000 0.000 5.055
In P F
1 3 1
Direct
0.000 0.000 0.000
0.000 0.000 0.500
0.000 0.500 0.000
0.500 0.000 0.000
0.500 0.500 0.500

Record 4
CsHf2AsIr GGA-PBE relaxed; total energy = -0.44653 Ry/atom; ρ = 9.957 g/cm3; N(E_F) = 5.12 states/eV/cell
1.0
5.157 0.000 0.000
0.000 5.157 0.000
0.000 0.000 4.747
Cs Hf As Ir
1 2 1 1
Direct
0.000 0.000 0.000
0.000 0.500 0.500
0.500 0.000 0.500
0.500 0.500 0.500
0.500 0.500 0.000

Record 5
LiAl2W GGA-PBE relaxed; total energy = -0.39894 Ry/atom; ρ = 6.442 g/cm3; N(E_F) = 2.40 states/eV/cell
1.0
2.745 0.000 0.000
0.000 4.351 0.000
0.000 0.000 5.282
Li Al W
1 2 1
Direct
0.000 0.000 0.000
0.000 0.000 0.463
0.500 0.500 0.787
0.500 0.500 0.284

Record 6
BaTeSe2Br GGA-PBE relaxed; ρ = 3.622 g/cm3; N(E_F) = 11.13 states/eV/cell; formation energy from raw total energies = 0.1293 eV/atom
1.0
6.228 0.000 0.000
0.000 6.228 0.000
0.000 0.000 5.942
Ba Te Se Br
1 1 2 1
Direct
0.000 0.000 0.000
0.500 0.500 0.500
0.000 0.500 0.000
0.500 0.000 0.000
0.000 0.000 0.500

Record 7
CsAc2Sn3Te6 GGA-PBE relaxed; ρ = 5.757 g/cm3; N(E_F) = 2.94 states/eV/cell; formation energy from raw total energies = -0.7973 eV/atom
1.0
10.291 -2.486 0.000
10.291 2.486 0.000
-1.430 0.000 9.631
Cs Ac Sn Te
1 2 3 6
Direct
0.000 0.000 0.000
0.330 0.330 0.657
0.670 0.670 0.343
0.000 0.000 0.500
0.334 0.334 0.218
0.666 0.666 0.782
0.162 0.162 0.591
0.188 0.188 0.128
0.487 0.487 0.706
0.513 0.513 0.294
0.812 0.812 0.872
0.838 0.838 0.409

Record 8
TbNdCo3 GGA-PBE relaxed; total energy = -0.46093 Ry/atom; ρ = 8.304 g/cm3; N(E_F) = 8.53 states/eV/cell
1.0
2.095 -11.678 0.000
2.095 11.678 0.000
0.000 0.000 3.923
Tb Nd Co
2 2 6
Direct
0.205 0.795 0.750
0.795 0.205 0.250
0.071 0.929 0.250
0.929 0.071 0.750
0.331 0.669 0.750
0.378 0.622 0.250
0.476 0.524 0.250
0.524 0.476 0.750
0.622 0.378 0.750
0.669 0.331 0.250

Record 9
SrLiPmGa GGA-PBE relaxed; total energy = -0.22283 Ry/atom; ρ = 4.580 g/cm3; N(E_F) = 15.09 states/eV/cell
1.0
7.655 0.000 0.000
0.000 7.655 0.000
0.000 0.000 7.655
Sr Li Pm Ga
4 4 4 4
Direct
0.000 0.000 0.000
0.000 0.500 0.500
0.500 0.000 0.500
0.500 0.500 0.000
0.250 0.250 0.250
0.250 0.750 0.750
0.750 0.250 0.750
0.750 0.750 0.250
0.000 0.000 0.500
0.000 0.500 0.000
0.500 0.000 0.000
0.500 0.500 0.500
0.250 0.250 0.750
0.250 0.750 0.250
0.750 0.250 0.250
0.750 0.750 0.750

Record 10
Sr2TlTeO6 GGA-PBE relaxed; ρ = 6.511 g/cm3; N(E_F) = 1.03 states/eV/cell; formation energy from raw total energies = -1.7849 eV/atom
1.0
3.048 1.760 4.779
-3.048 1.760 4.779
0.000 -3.520 4.779
Sr Tl Te O
2 1 1 6
Direct
0.240 0.240 0.240
0.760 0.760 0.760
0.500 0.500 0.500
0.000 0.000 0.000
0.135 0.793 0.313
0.207 0.687 0.865
0.313 0.135 0.793
0.687 0.865 0.207
0.793 0.313 0.135
0.865 0.207 0.687

Record 11
CdFeNi GGA-PBE relaxed; total energy = -0.35383 Ry/atom; ρ = 8.760 g/cm3; N(E_F) = 2.01 states/eV/cell
1.0
4.268 0.000 0.000
-2.134 3.697 0.000
0.000 0.000 2.727
Cd Fe Ni
1 1 1
Direct
0.000 0.000 0.000
0.667 0.333 0.446
0.333 0.667 0.573

Record 12
BaBi3Au3 GGA-PBE relaxed; total energy = -0.26117 Ry/atom; ρ = 9.163 g/cm3; N(E_F) = 6.77 states/eV/cell
1.0
7.890 0.000 0.000
0.000 7.890 0.000
0.000 0.000 7.890
Ba Bi Au
2 6 6
Direct
0.000 0.000 0.000
0.500 0.500 0.500
0.000 0.250 0.500
0.000 0.750 0.500
0.250 0.500 0.000
0.500 0.000 0.250
0.500 0.000 0.750
0.750 0.500 0.000
0.000 0.500 0.250
0.000 0.500 0.750
0.250 0.000 0.500
0.500 0.250 0.000
0.500 0.750 0.000
0.750 0.000 0.500